# 1
A relaxed Tb5Pb4 crystal. Source: Alexandria, functional GGA-PBE.

abc: 8.238 8.323 15.704
angles: 90.00 90.00 90.00
Fractional positions:
Pb (0.781, 0.534, 0.957)
Pb (0.719, 0.034, 0.043)
Pb (0.219, 0.466, 0.457)
Pb (0.281, 0.966, 0.543)
Pb (0.219, 0.466, 0.043)
Pb (0.281, 0.966, 0.957)
Pb (0.781, 0.534, 0.543)
Pb (0.719, 0.034, 0.457)
Pb (0.071, 0.124, 0.250)
Pb (0.429, 0.624, 0.750)
Pb (0.929, 0.876, 0.750)
Pb (0.571, 0.376, 0.250)
Pb (0.846, 0.652, 0.250)
Pb (0.654, 0.152, 0.750)
Pb (0.154, 0.348, 0.750)
Pb (0.346, 0.848, 0.250)
Tb (0.876, 0.343, 0.120)
Tb (0.624, 0.843, 0.880)
Tb (0.124, 0.657, 0.620)
Tb (0.376, 0.157, 0.380)
Tb (0.124, 0.657, 0.880)
Tb (0.376, 0.157, 0.120)
Tb (0.876, 0.343, 0.380)
Tb (0.624, 0.843, 0.620)
Tb (0.035, 0.824, 0.100)
Tb (0.465, 0.324, 0.900)
Tb (0.965, 0.176, 0.600)
Tb (0.535, 0.676, 0.400)
Tb (0.965, 0.176, 0.900)
Tb (0.535, 0.676, 0.100)
Tb (0.035, 0.824, 0.400)
Tb (0.465, 0.324, 0.600)
Tb (0.709, 0.004, 0.250)
Tb (0.791, 0.504, 0.750)
Tb (0.291, 0.996, 0.750)
Tb (0.209, 0.496, 0.250)

Computed properties:
V	29.91	Å³/atom
E above lowest polymorph	0	meV per atom
DFT formation energy	-551	meV/atom

# 2
A relaxed Tb4Pb crystal. Source: Alexandria, functional GGA-PBE.

abc: 5.820 5.820 5.820
angles: 90.00 90.00 90.00
Fractional positions:
Pb (0.500, 0.500, 0.500)
Tb (0.000, 0.000, 0.000)
Tb (0.500, 0.000, 0.500)
Tb (0.000, 0.500, 0.500)
Tb (0.500, 0.500, 0.000)

Computed properties:
V	39.43	Å³/atom
DFT formation energy	398	meV/atom

# 3
A relaxed Tb5Pb4 crystal. Source: Alexandria, functional GGA-PBE.

abc: 6.258 7.497 7.497
angles: 79.97 65.33 65.33
Fractional positions:
Tb (0.500, 0.000, 0.000)
Tb (0.101, 0.634, 0.164)
Tb (0.265, 0.836, 0.634)
Tb (0.735, 0.164, 0.366)
Tb (0.899, 0.366, 0.836)
Pb (0.187, 0.232, 0.394)
Pb (0.581, 0.606, 0.232)
Pb (0.419, 0.394, 0.768)
Pb (0.813, 0.768, 0.606)

Computed properties:
V	32.28	Å³/atom
E above lowest polymorph	304	meV per atom
DFT formation energy	-247	meV/atom

# 4
A relaxed Tb8TcPb2 crystal. Source: Alexandria, functional GGA-PBE.

abc: 5.589 7.039 9.140
angles: 112.61 107.80 90.00
Fractional positions:
Tb (0.376, 0.613, 0.752)
Tb (0.624, 0.863, 0.249)
Tb (0.809, 0.809, 0.619)
Tb (0.000, 0.242, 0.000)
Tb (0.191, 0.191, 0.381)
Tb (0.376, 0.137, 0.751)
Tb (0.624, 0.387, 0.248)
Tb (0.000, 0.758, 0.000)
Tc (0.500, 0.000, 0.000)
Pb (0.813, 0.313, 0.627)
Pb (0.187, 0.687, 0.373)

Computed properties:
V	28.48	Å³/atom
DFT formation energy	-215	meV/atom

# 5
A relaxed Tb2TcPb crystal. Source: Alexandria, functional GGA-PBE.

abc: 3.470 3.470 10.804
angles: 80.76 80.76 60.00
Fractional positions:
Pb (0.000, 0.000, 0.000)
Tb (0.104, 0.104, 0.689)
Tb (0.896, 0.896, 0.311)
Tc (0.500, 0.500, 0.500)

Computed properties:
V	27.67	Å³/atom
E above lowest polymorph	363	meV per atom
DFT formation energy	158	meV/atom

# 6
A relaxed Tb2TcPb crystal. Source: Alexandria, functional GGA-PBE.

abc: 3.567 3.567 7.734
angles: 90.00 90.00 90.00
Fractional positions:
Pb (0.500, 0.500, 0.500)
Tb (0.000, 0.000, 0.790)
Tb (0.000, 0.000, 0.210)
Tc (0.500, 0.500, 0.000)

Computed properties:
V	24.61	Å³/atom
E above lowest polymorph	0	meV per atom
DFT formation energy	-205	meV/atom

# 7
A relaxed Tb8Te3Pb2 crystal. Source: Alexandria, functional GGA-PBE.

abc: 6.925 8.390 8.480
angles: 119.65 96.57 90.00
Fractional positions:
Tb (0.870, 0.591, 0.182)
Tb (0.130, 0.409, 0.818)
Tb (0.855, 0.161, 0.322)
Tb (0.145, 0.839, 0.678)
Tb (0.623, 0.593, 0.766)
Tb (0.623, 0.172, 0.766)
Tb (0.377, 0.828, 0.234)
Tb (0.377, 0.407, 0.234)
Te (0.500, 0.000, 0.000)
Te (0.000, 0.204, 0.000)
Te (0.000, 0.796, 0.000)
Pb (0.338, 0.244, 0.487)
Pb (0.662, 0.756, 0.513)

Computed properties:
V	32.65	Å³/atom
uncorrected formation energy	-564	meV per atom

# 8
A relaxed Tb10Te3Pb3 crystal. Source: Alexandria, functional GGA-PBE.

abc: 6.357 9.118 9.118
angles: 120.00 90.00 90.00
Fractional positions:
Tb (0.249, 0.667, 0.333)
Tb (0.249, 0.333, 0.667)
Tb (0.751, 0.333, 0.667)
Tb (0.751, 0.667, 0.333)
Tb (0.500, 0.000, 0.756)
Tb (0.500, 0.756, 0.000)
Tb (0.500, 0.244, 0.244)
Tb (0.000, 0.000, 0.247)
Tb (0.000, 0.247, 0.000)
Tb (0.000, 0.753, 0.753)
Te (0.000, 0.000, 0.615)
Te (0.000, 0.615, 0.000)
Te (0.000, 0.385, 0.385)
Pb (0.500, 0.000, 0.391)
Pb (0.500, 0.391, 0.000)
Pb (0.500, 0.609, 0.609)

Computed properties:
V	28.61	Å³/atom
uncorrected formation energy	-764	meV per atom

Magnetization for the records above, in order: 0.000, 0.337, 0.000, 0.000, 0.000, 0.000, 0.000, 0.000 μB/atom